{"formula": "KMnFeO4", "functional": "PBE+U", "state": "relaxed", "lattice_angstrom": [[5.487, 0.000, -0.710], [0.000, 5.445, 0.000], [-3.156, 0.000, 7.234]], "species": ["K", "K", "Mn", "Mn", "O", "O", "O", "O", "O", "O", "O", "O", "Fe", "Fe"], "fractional_positions": [[0.544, 0.750, 0.897], [0.456, 0.250, 0.103], [0.819, 0.750, 0.457], [0.181, 0.250, 0.543], [0.444, 0.750, 0.208], [0.403, 0.250, 0.418], [0.969, 0.520, 0.336], [0.597, 0.750, 0.582], [0.031, 0.020, 0.664], [0.556, 0.250, 0.792], [0.969, 0.980, 0.336], [0.031, 0.480, 0.664], [0.249, 0.750, 0.343], [0.751, 0.250, 0.657]], "final_energy_ev_per_cell": -85.9, "magmom_total_mub_per_cell": 16.00}